No. 1
Compound: BaZnGaAu
Source: OQMD
Functional: GGA-PBE
Structure: relaxed

## Properties
* total DFT energy (no corrections): -2.566 eV/atom

Cell: 7.2546 7.2546 7.2546 Å, 90.00 90.00 90.00°
Space group F-43m (No. 216)
One atom of each set of equivalent atoms:
Ba: 0.0000 0.0000 0.0000 (multiplicity 4)
Zn: 0.2500 0.2500 0.7500 (multiplicity 4)
Ga: 0.2500 0.2500 0.2500 (multiplicity 4)
Au: 0.0000 0.0000 0.5000 (multiplicity 4)

=====

No. 2
Compound: BaGdAu2
Source: OQMD
Functional: GGA-PBE
Structure: relaxed

## Properties
* total DFT energy (no corrections): -3.941 eV/atom

Cell: 4.9173 6.0644 7.5853 Å, 90.00 90.00 90.00°
Space group Pmc2_1 (No. 26)
One atom of each set of equivalent atoms:
Ba: 0.0000 0.0922 0.0000 (multiplicity 2)
Gd: 0.5000 0.4013 0.3749 (multiplicity 2)
Au: 0.0000 0.4284 0.6510 (multiplicity 2)
Au: 0.5000 0.1323 0.7217 (multiplicity 2)

=====

No. 3
Compound: BaGdAu2
Source: OQMD
Functional: GGA-PBE
Structure: relaxed

## Properties
* total DFT energy (no corrections): -4.028 eV/atom

Cell: 4.8891 7.7554 5.9740 Å, 90.00 90.00 90.00°
Space group Pmn2_1 (No. 31)
One atom of each set of equivalent atoms:
Ba: 0.0000 0.0655 0.0000 (multiplicity 2)
Gd: 0.0000 0.5617 0.7943 (multiplicity 2)
Au: 0.0000 0.2572 0.4927 (multiplicity 2)
Au: 0.0000 0.6675 0.3006 (multiplicity 2)

=====

No. 4
Compound: BaGd3Au4
Source: OQMD
Functional: GGA-PBE
Structure: relaxed

## Properties
* total DFT energy (no corrections): -4.377 eV/atom

Cell: 5.8868 4.8136 7.4893 Å, 90.00 92.46 90.00°
Space group Pm (No. 6)
One atom of each set of equivalent atoms:
Ba: 0.0000 0.0000 0.0000 (multiplicity 1)
Gd: 0.2948 0.5000 0.3807 (multiplicity 1)
Gd: 0.5032 0.5000 0.8625 (multiplicity 1)
Gd: 0.7868 0.0000 0.5064 (multiplicity 1)
Au: 0.3151 0.0000 0.6357 (multiplicity 1)
Au: 0.4999 0.0000 0.1581 (multiplicity 1)
Au: 0.7825 0.5000 0.2557 (multiplicity 1)
Au: 0.9911 0.5000 0.6971 (multiplicity 1)